Computed, not measured: crystalline Li4MnCo2O7 at its relaxed geometry at the PBE+U level of DFT.

Summary:
Energy: -5.832 eV per atom
Total magnetization: 9.00 μB per formula unit
Mass density: 4.18 Mg/m³

a b c (Å): 5.9020 6.5300 7.7060
angles (deg): 65.12 67.99 75.95
Last column: nearest neighbours and their distance in Å.
Sites, in units of the cell vectors:
Li  0.6435  0.2855  0.0757  6 O 2.03-2.24
Li  0.9281  0.8608  0.2179  6 O 2.09-2.20
Li  0.2095  0.4162  0.3665  5 O 2.04-2.19
Li  0.5000  0.0000  0.5000  6 O 2.14-2.26
Li  0.7905  0.5838  0.6335  5 O 2.04-2.19
Li  0.0719  0.1392  0.7821  6 O 2.09-2.20
Li  0.3565  0.7145  0.9243  6 O 2.03-2.24
Li  0.0000  0.0000  0.5000  6 O 2.03-2.18
Mn  0.8597  0.7146  0.9256  6 O 1.92-1.98
Mn  0.1403  0.2854  0.0744  6 O 1.92-1.98
Co  0.4166  0.8579  0.2258  5 O 1.89-2.07
Co  0.7141  0.4301  0.3603  6 O 1.93-2.14
Co  0.2859  0.5699  0.6397  6 O 1.93-2.14
Co  0.5834  0.1421  0.7742  5 O 1.89-2.07
O  0.9612  0.4342  0.8734  2 Mn 1.94-1.98, 1 Li 2.08, 1 Co 2.14
O  0.2516  0.0193  0.0036  1 Mn 1.93, 2 Co 2.06-2.14, 2 Li 2.12-2.15
O  0.5709  0.5798  0.1426  2 Co 1.94-2.07, 1 Mn 1.96, 1 Li 2.10
O  0.8406  0.1687  0.2782  1 Mn 1.93, 1 Co 1.95, 3 Li 2.03-2.15
O  0.1410  0.7099  0.4238  2 Co 1.89-1.93, 2 Li 2.06-2.11
O  0.3873  0.2952  0.5773  3 Co 1.95-2.11, 3 Li 2.04-2.14
O  0.6779  0.8463  0.7367  1 Mn 1.92, 1 Co 1.99, 2 Li 2.03-2.05
O  0.3221  0.1537  0.2633  1 Mn 1.92, 1 Co 1.99, 2 Li 2.03-2.05
O  0.6127  0.7048  0.4227  3 Co 1.95-2.11, 3 Li 2.04-2.14
O  0.8590  0.2901  0.5762  2 Co 1.89-1.93, 2 Li 2.06-2.11
O  0.1594  0.8313  0.7218  1 Mn 1.93, 1 Co 1.95, 3 Li 2.03-2.15
O  0.4291  0.4202  0.8574  2 Co 1.94-2.07, 1 Mn 1.96, 1 Li 2.10
O  0.7484  0.9807  0.9964  1 Mn 1.93, 2 Co 2.06-2.14, 2 Li 2.12-2.15
O  0.0388  0.5658  0.1266  2 Mn 1.94-1.98, 1 Li 2.08, 1 Co 2.14